1.
VASP calculation (PBE) on a relaxed TbYMgRu crystal.

POSCAR file:
```
TbYMgRu
1.0
7.1271 0.0000 0.0000
0.0000 7.1271 0.0000
0.0000 0.0000 7.1271
Tb Y Mg Ru
4 4 4 4
Direct
0.0000 0.0000 0.0000 Tb
0.0000 0.5000 0.5000 Tb
0.5000 0.0000 0.5000 Tb
0.5000 0.5000 0.0000 Tb
0.0000 0.0000 0.5000 Y
0.0000 0.5000 0.0000 Y
0.5000 0.0000 0.0000 Y
0.5000 0.5000 0.5000 Y
0.2500 0.2500 0.2500 Mg
0.2500 0.7500 0.7500 Mg
0.7500 0.2500 0.7500 Mg
0.7500 0.7500 0.2500 Mg
0.2500 0.2500 0.7500 Ru
0.2500 0.7500 0.2500 Ru
0.7500 0.2500 0.2500 Ru
0.7500 0.7500 0.7500 Ru
```

Calculated values
The energy of formation is -0.19 eV/atom. Its calculated total energy is -5.68 eV per atom. The energy above the most stable polymorph in this dataset is 87 meV per atom. The calculation puts the calculated density at 6.847 g/cm3. The calculated volume is 22.6 Å³ per atom. The calculation puts the spin magnetization at 0.00 μB/cell.



2.
VASP calculation (PBE) on a relaxed TbYMgRu crystal.

POSCAR file:
```
TbYMgRu
1.0
3.4632 0.0000 0.0000
0.0000 3.4632 0.0000
0.0000 0.0000 8.0622
Tb Y Mg Ru
1 1 1 1
Direct
0.0000 0.0000 0.0000 Tb
0.0000 0.0000 0.5899 Y
0.5000 0.5000 0.2973 Mg
0.5000 0.5000 0.7963 Ru
```

Calculated values
The energy of formation is -0.27 eV/atom. Its calculated total energy is -5.76 eV per atom. The energy above the most stable polymorph in this dataset is 0 meV per atom. The calculation puts the calculated density at 6.409 g/cm3. The calculated volume is 24.2 Å³ per atom. The calculation puts the spin magnetization at 0.00 μB/cell.



3.
VASP calculation (PBE) on a relaxed MgTc2Ru crystal.

POSCAR file:
```
MgTc2Ru
1.0
3.0570 0.0000 0.0000
0.0000 4.5085 0.0000
0.0000 0.0000 8.6910
Mg Tc Ru
2 4 2
Direct
0.0000 0.0000 0.0000 Mg
0.5000 0.5000 0.5000 Mg
0.0000 0.0000 0.5057 Tc
0.0000 0.5000 0.2345 Tc
0.5000 0.0000 0.7345 Tc
0.5000 0.5000 0.0057 Tc
0.0000 0.5000 0.7596 Ru
0.5000 0.0000 0.2596 Ru
```

Calculated values
The energy of formation is 0.17 eV/atom. Its calculated total energy is -7.73 eV per atom. The calculation puts the calculated density at 8.910 g/cm3. The calculated volume is 15.0 Å³ per atom. The calculation puts the spin magnetization at 0.00 μB/cell.